No. 1
Here is Cd2CuNi at its PBEsol-relaxed geometry from Alexandria. Energies are from meta-GGA SCAN.

Relative energy among the computed polymorphs, eV/atom: 0.018
DOS at the Fermi energy, states/eV/cell: 1.63
Formation energy from the elements, eV per atom: 0.1052
Electronic total energy, eV per atom: -22.945

Cell: 2.834 4.200 5.261 Å, 90.00 105.39 90.00°
Space group Pm (No. 6)
One atom of each set of equivalent atoms:
1 Cd 0.000 0.000 0.000 x1
2 Cd 0.324 0.500 0.654 x1
3 Cu 0.599 0.500 0.201 x1
4 Ni 0.728 0.000 0.460 x1


No. 2
Here is MgCd2Tc at its PBEsol-relaxed geometry from Alexandria. Energies are from meta-GGA SCAN.

DOS at the Fermi energy, states/eV/cell: 2.42
Formation energy from the elements, eV per atom: 0.2721
Electronic total energy, eV per atom: -24.944

Cell: 2.885 2.885 8.699 Å, 90.00 90.00 90.00°
Space group P4/mmm (No. 123)
One atom of each set of equivalent atoms:
1 Mg 0.000 0.000 0.000 x1
2 Cd 0.500 0.500 0.265 x2
3 Tc 0.000 0.000 0.500 x1


No. 3
Here is SiAs2P at its PBEsol-relaxed geometry from Alexandria. Energies are from meta-GGA SCAN.

Relative energy among the computed polymorphs, eV/atom: 0.000
DOS at the Fermi energy, states/eV/cell: 1.32
Formation energy (no corrections), meV per atom: 163
Electronic total energy, eV per atom: -15.036

Cell: 4.442 3.632 4.528 Å, 90.00 109.61 90.00°
Space group Pm (No. 6)
One atom of each set of equivalent atoms:
1 Si 0.000 0.000 0.000 x1
2 As 0.484 0.000 0.521 x1
3 As 0.732 0.500 0.249 x1
4 P 0.230 0.500 0.796 x1


No. 4
Here is Co3Ni3S8 at its PBEsol-relaxed geometry from Alexandria. Energies are from meta-GGA SCAN.

DOS at the Fermi energy, states/eV/cell: 15.41
Formation energy (no corrections), meV per atom: -464
Electronic total energy, eV per atom: -13.139

Cell: 6.5194 6.5194 15.9123 Å, 90.00 90.00 120.00°
Space group R-3m (No. 166, hexagonal axes)
One atom of each set of equivalent atoms:
1 Co 0.0000 0.0000 0.0000 x3
2 Co 0.0000 0.0000 0.3755 x6
3 Ni 0.0000 0.5000 0.5000 x9
4 S 0.0000 0.0000 0.2444 x6
5 S 0.0195 0.5098 0.7508 x18